1.
# TlHg6Au

A relaxed TlHg6Au crystal (PBE, Alexandria via LeMat-Bulk).

formation energy	0.0587	eV per atom
ΔE to the lowest computed polymorph	26	meV/atom
M_tot	0.00	μB per cell
DOS(E_F)	1.87	states/eV/f.u.

CIF file:
```
data_TlHg6Au
_chemical_formula_sum 'Tl3 Hg18 Au3'
_space_group_name_H-M_alt 'R -3 m'
_space_group_IT_number 166
_space_group_name_Hall '-R 3 2"'
_cell_length_a 6.4536
_cell_length_b 6.4536
_cell_length_c 21.4626
_cell_angle_alpha 90.00
_cell_angle_beta 90.00
_cell_angle_gamma 120.00
loop_
_atom_site_label
_atom_site_fract_x
_atom_site_fract_y
_atom_site_fract_z
_atom_site_occupancy
Tl1 0.0000 0.0000 0.0000 1
Hg1 0.0176 0.5088 0.9276 1
Au1 0.0000 0.0000 0.5000 1
```

***

2.
# Tl6Hg23Au

A relaxed Tl6Hg23Au crystal (PBE, Alexandria via LeMat-Bulk).

formation energy	0.0037	eV per atom
M_tot	0.00	μB per cell
DOS(E_F)	7.52	states/eV/f.u.

CIF file:
```
data_Tl6Hg23Au
_chemical_formula_sum 'Tl24 Hg92 Au4'
_space_group_name_H-M_alt 'F m -3 m'
_space_group_IT_number 225
_space_group_name_Hall '-F 4 2 3'
_cell_length_a 15.030
_cell_length_b 15.030
_cell_length_c 15.030
_cell_angle_alpha 90.00
_cell_angle_beta 90.00
_cell_angle_gamma 90.00
loop_
_atom_site_label
_atom_site_fract_x
_atom_site_fract_y
_atom_site_fract_z
_atom_site_occupancy
Tl1 0.000 0.000 0.209 1
Hg1 0.000 0.000 0.500 1
Hg2 0.000 0.250 0.250 1
Hg3 0.120 0.120 0.380 1
Hg4 0.158 0.158 0.158 1
Au1 0.000 0.000 0.000 1
```

***

3.
# Tl4Hg2Au5

A relaxed Tl4Hg2Au5 crystal (PBE, Alexandria via LeMat-Bulk).

formation energy	0.0120	eV per atom
M_tot	0.00	μB per cell
DOS(E_F)	4.37	states/eV/f.u.

CIF file:
```
data_Tl4Hg2Au5
_chemical_formula_sum 'Tl4 Hg2 Au5'
_space_group_name_H-M_alt 'P 1 2/m 1'
_space_group_IT_number 10
_space_group_name_Hall '-P 2y'
_cell_length_a 7.374
_cell_length_b 4.755
_cell_length_c 8.292
_cell_angle_alpha 90.00
_cell_angle_beta 99.56
_cell_angle_gamma 90.00
loop_
_atom_site_label
_atom_site_fract_x
_atom_site_fract_y
_atom_site_fract_z
_atom_site_occupancy
Tl1 0.237 0.000 0.419 1
Tl2 0.251 0.000 0.902 1
Hg1 0.117 0.500 0.162 1
Au1 0.155 0.500 0.626 1
Au2 0.497 0.500 0.835 1
Au3 0.500 0.500 0.500 1
```

***

4.
# TlHg6Au4

A relaxed TlHg6Au4 crystal (PBE, Alexandria via LeMat-Bulk).

formation energy	0.0124	eV per atom
M_tot	0.00	μB per cell
DOS(E_F)	3.30	states/eV/f.u.

CIF file:
```
data_TlHg6Au4
_chemical_formula_sum 'Tl2 Hg12 Au8'
_space_group_name_H-M_alt 'C 1 m 1'
_space_group_IT_number 8
_space_group_name_Hall 'C -2y'
_cell_length_a 10.419
_cell_length_b 10.498
_cell_length_c 7.388
_cell_angle_alpha 90.00
_cell_angle_beta 134.84
_cell_angle_gamma 90.00
loop_
_atom_site_label
_atom_site_fract_x
_atom_site_fract_y
_atom_site_fract_z
_atom_site_occupancy
Tl1 0.000 0.000 0.000 1
Hg1 0.036 0.500 0.639 1
Hg2 0.248 0.250 0.499 1
Hg3 0.284 0.178 0.999 1
Hg4 0.396 0.500 0.360 1
Au1 0.073 0.333 0.999 1
Au2 0.097 0.500 0.335 1
Au3 0.261 0.000 0.663 1
```

***

5.
# TlHgAu

A relaxed TlHgAu crystal (PBE, Alexandria via LeMat-Bulk).

formation energy	-0.0070	eV per atom
ΔE to the lowest computed polymorph	20	meV/atom
M_tot	0.00	μB per cell
DOS(E_F)	0.95	states/eV/f.u.

CIF file:
```
data_TlHgAu
_chemical_formula_sum 'Tl4 Hg4 Au4'
_space_group_name_H-M_alt 'C 1 2/m 1'
_space_group_IT_number 12
_space_group_name_Hall '-C 2y'
_cell_length_a 13.487
_cell_length_b 4.042
_cell_length_c 5.785
_cell_angle_alpha 90.00
_cell_angle_beta 98.97
_cell_angle_gamma 90.00
loop_
_atom_site_label
_atom_site_fract_x
_atom_site_fract_y
_atom_site_fract_z
_atom_site_occupancy
Tl1 0.145 0.000 0.325 1
Hg1 0.045 0.500 0.769 1
Au1 0.205 0.000 0.839 1
```

***

6.
# TlHg6Au

A relaxed TlHg6Au crystal (PBE, Alexandria via LeMat-Bulk).

formation energy	0.0322	eV per atom
ΔE to the lowest computed polymorph	0	meV/atom
M_tot	0.00	μB per cell
DOS(E_F)	1.95	states/eV/f.u.

CIF file:
```
data_TlHg6Au
_chemical_formula_sum 'Tl2 Hg12 Au2'
_space_group_name_H-M_alt 'A m m 2'
_space_group_IT_number 38
_space_group_name_Hall 'A 2 -2'
_cell_length_a 4.405
_cell_length_b 8.822
_cell_length_c 10.989
_cell_angle_alpha 90.00
_cell_angle_beta 90.00
_cell_angle_gamma 90.00
loop_
_atom_site_label
_atom_site_fract_x
_atom_site_fract_y
_atom_site_fract_z
_atom_site_occupancy
Tl1 0.000 0.000 0.000 1
Hg1 0.000 0.238 0.258 1
Hg2 0.500 0.000 0.228 1
Hg3 0.500 0.000 0.774 1
Hg4 0.500 0.194 0.486 1
Au1 0.000 0.000 0.582 1
```

***

7.
# TlHgAu2

A relaxed TlHgAu2 crystal (PBE, Alexandria via LeMat-Bulk).

formation energy	0.0971	eV per atom
ΔE to the lowest computed polymorph	98	meV/atom
M_tot	0.00	μB per cell
DOS(E_F)	0.74	states/eV/f.u.

CIF file:
```
data_TlHgAu2
_chemical_formula_sum 'Tl1 Hg1 Au2'
_space_group_name_H-M_alt 'P 1 2/m 1'
_space_group_IT_number 10
_space_group_name_Hall '-P 2y'
_cell_length_a 3.808
_cell_length_b 3.755
_cell_length_c 6.174
_cell_angle_alpha 90.00
_cell_angle_beta 91.08
_cell_angle_gamma 90.00
loop_
_atom_site_label
_atom_site_fract_x
_atom_site_fract_y
_atom_site_fract_z
_atom_site_occupancy
Tl1 0.000 0.000 0.000 1
Hg1 0.000 0.000 0.500 1
Au1 0.498 0.500 0.738 1
```

***

8.
# Tl5Hg3Au

A relaxed Tl5Hg3Au crystal (PBE, Alexandria via LeMat-Bulk).

formation energy	0.0020	eV per atom
M_tot	0.00	μB per cell
DOS(E_F)	4.28	states/eV/f.u.

CIF file:
```
data_Tl5Hg3Au
_chemical_formula_sum 'Tl10 Hg6 Au2'
_space_group_name_H-M_alt 'P 63/m c m'
_space_group_IT_number 193
_space_group_name_Hall '-P 6c 2'
_cell_length_a 9.7519
_cell_length_b 9.7519
_cell_length_c 6.2621
_cell_angle_alpha 90.00
_cell_angle_beta 90.00
_cell_angle_gamma 120.00
loop_
_atom_site_label
_atom_site_fract_x
_atom_site_fract_y
_atom_site_fract_z
_atom_site_occupancy
Tl1 0.0000 0.2685 0.2500 1
Tl2 0.3333 0.6667 0.0000 1
Hg1 0.0000 0.3861 0.7500 1
Au1 0.0000 0.0000 0.0000 1
```

***

9.
# Tl5HgAu2

A relaxed Tl5HgAu2 crystal (PBE, Alexandria via LeMat-Bulk).

formation energy	-0.0082	eV per atom
ΔE to the lowest computed polymorph	26	meV/atom
M_tot	0.00	μB per cell
DOS(E_F)	3.25	states/eV/f.u.

CIF file:
```
data_Tl5HgAu2
_chemical_formula_sum 'Tl10 Hg2 Au4'
_space_group_name_H-M_alt 'I m m m'
_space_group_IT_number 71
_space_group_name_Hall '-I 2 2'
_cell_length_a 3.539
_cell_length_b 8.273
_cell_length_c 15.252
_cell_angle_alpha 90.00
_cell_angle_beta 90.00
_cell_angle_gamma 90.00
loop_
_atom_site_label
_atom_site_fract_x
_atom_site_fract_y
_atom_site_fract_z
_atom_site_occupancy
Tl1 0.000 0.000 0.000 1
Tl2 0.000 0.230 0.360 1
Hg1 0.000 0.500 0.000 1
Au1 0.000 0.000 0.212 1
```

***

10.
# Tl9Hg4Au

A relaxed Tl9Hg4Au crystal (PBE, Alexandria via LeMat-Bulk).

formation energy	0.0110	eV per atom
M_tot	0.00	μB per cell
DOS(E_F)	8.64	states/eV/f.u.

CIF file:
```
data_Tl9Hg4Au
_chemical_formula_sum 'Tl18 Hg8 Au2'
_space_group_name_H-M_alt 'P 63/m m c'
_space_group_IT_number 194
_space_group_name_Hall '-P 6c 2c'
_cell_length_a 9.8334
_cell_length_b 9.8334
_cell_length_c 9.8769
_cell_angle_alpha 90.00
_cell_angle_beta 90.00
_cell_angle_gamma 120.00
loop_
_atom_site_label
_atom_site_fract_x
_atom_site_fract_y
_atom_site_fract_z
_atom_site_occupancy
Tl1 0.0726 0.5363 0.2500 1
Tl2 0.2018 0.4036 0.5523 1
Hg1 0.0000 0.0000 0.0000 1
Hg2 0.1153 0.2306 0.2500 1
Au1 0.3333 0.6667 0.7500 1
```

***

11.
# Tl4HgAu

A relaxed Tl4HgAu crystal (PBE, Alexandria via LeMat-Bulk).

formation energy	-0.0152	eV per atom
ΔE to the lowest computed polymorph	0	meV/atom
M_tot	0.00	μB per cell
DOS(E_F)	2.08	states/eV/f.u.

CIF file:
```
data_Tl4HgAu
_chemical_formula_sum 'Tl16 Hg4 Au4'
_space_group_name_H-M_alt 'C 1 2/c 1'
_space_group_IT_number 15
_space_group_name_Hall '-C 2yc'
_cell_length_a 8.970
_cell_length_b 12.772
_cell_length_c 6.279
_cell_angle_alpha 90.00
_cell_angle_beta 104.63
_cell_angle_gamma 90.00
loop_
_atom_site_label
_atom_site_fract_x
_atom_site_fract_y
_atom_site_fract_z
_atom_site_occupancy
Tl1 0.107 0.189 0.062 1
Tl2 0.214 0.403 0.392 1
Hg1 0.000 0.393 0.750 1
Au1 0.000 0.013 0.750 1
```

***

12.
# Tl4Hg4Au

A relaxed Tl4Hg4Au crystal (PBE, Alexandria via LeMat-Bulk).

formation energy	-0.0174	eV per atom
M_tot	0.00	μB per cell
DOS(E_F)	2.43	states/eV/f.u.

CIF file:
```
data_Tl4Hg4Au
_chemical_formula_sum 'Tl8 Hg8 Au2'
_space_group_name_H-M_alt 'P 42/n'
_space_group_IT_number 86
_cell_length_a 8.962
_cell_length_b 8.962
_cell_length_c 6.316
_cell_angle_alpha 90.00
_cell_angle_beta 90.00
_cell_angle_gamma 90.00
loop_
_space_group_symop_operation_xyz
'x,y,z'
'-x,-y,-z'
'-y,x+1/2,z+1/2'
'y,-x+1/2,-z+1/2'
'-x+1/2,-y+1/2,z'
'x+1/2,y+1/2,-z'
'y+1/2,-x,z+1/2'
'-y+1/2,x,-z+1/2'
loop_
_atom_site_label
_atom_site_fract_x
_atom_site_fract_y
_atom_site_fract_z
_atom_site_occupancy
Tl1 0.063 0.816 0.109 1
Hg1 0.049 0.161 0.385 1
Au1 0.250 0.250 0.750 1
```

***

Q: Among the records above, which one has the lowest DOS(E_F)?
A: TlHgAu2

***

Q: Among the records above, which one has the highest DOS(E_F)?
A: Tl9Hg4Au